{"formula": "TaCuAsW", "functional": "PBE-GGA", "state": "relaxed", "total_magnetization_mub_per_cell": 0.0, "polymorph_energy_kj_per_mol_atoms": 0.0, "cell": [[0.000, 3.166, 3.166], [3.166, 0.000, 3.166], [3.166, 3.166, 0.000]], "species": ["Ta", "Cu", "As", "W"], "frac_coords": [[0.500, 0.500, 0.500], [0.750, 0.750, 0.750], [0.000, 0.000, 0.000], [0.250, 0.250, 0.250]]}



{"formula": "TaZnCuAs", "functional": "PBE-GGA", "state": "relaxed", "total_magnetization_mub_per_cell": 0.0, "polymorph_energy_kj_per_mol_atoms": 0.0, "cell": [[3.678, -1.961, 1.548], [-0.304, -3.785, 2.314], [1.405, -3.820, -1.791]], "species": ["As", "Ta", "Zn", "Cu"], "frac_coords": [[0.000, 0.000, 0.000], [0.250, 0.250, 0.250], [0.500, 0.500, 0.500], [0.750, 0.750, 0.750]]}



{"formula": "TaZnCuAs", "functional": "PBE-GGA", "state": "relaxed", "total_magnetization_mub_per_cell": 0.7, "polymorph_energy_kj_per_mol_atoms": 30.1, "cell": [[0.000, 3.184, 3.184], [3.184, 0.000, 3.184], [3.184, 3.184, 0.000]], "species": ["As", "Zn", "Cu", "Ta"], "frac_coords": [[0.000, 0.000, 0.000], [0.250, 0.250, 0.250], [0.750, 0.750, 0.750], [0.500, 0.500, 0.500]]}



{"formula": "TbYCu2As4", "functional": "PBE-GGA", "state": "relaxed", "total_magnetization_mub_per_cell": 0.0, "total_energy_ev_per_atom": -5.471, "cell": [[3.914, 0.000, 0.000], [0.000, 3.914, 0.000], [0.000, 0.000, 9.877]], "species": ["Cu", "Cu", "As", "As", "As", "As", "Y", "Tb"], "frac_coords": [[0.000, 0.500, 0.500], [0.500, 0.000, 0.500], [0.000, 0.500, 0.000], [0.500, 0.500, 0.660], [0.000, 0.000, 0.340], [0.500, 0.000, 0.000], [0.500, 0.500, 0.237], [0.000, 0.000, 0.763]]}